Record 1
# PBE TbSmEu2, optimized geometry
# offset from the most stable computed form = 0.015 eV/atom
# calculated volume = 35.953 A^3/atom
# ΔE_f = 0.109 eV/atom
# Fermi-level density of states = 1.162 states/eV per atom
data_TbSmEu2
_chemical_formula_sum 'Tb1 Sm1 Eu2'
_cell_length_a 3.6748
_cell_length_b 3.6748
_cell_length_c 10.6496
_cell_angle_alpha 90.00
_cell_angle_beta 90.00
_cell_angle_gamma 90.00
_space_group_name_H-M_alt 'P 4/m m m'
_space_group_IT_number 123
_space_group_name_Hall '-P 4 2'
loop_
_atom_site_label
_atom_site_type_symbol
_atom_site_fract_x
_atom_site_fract_y
_atom_site_fract_z
Tb1 Tb 0.0000 0.0000 0.0000
Sm1 Sm 0.0000 0.0000 0.5000
Eu1 Eu 0.5000 0.5000 0.2475

=====

Record 2
# PBE TbSm2Eu, optimized geometry
# offset from the most stable computed form = 0.097 eV/atom
# calculated volume = 34.710 A^3/atom
# ΔE_f = 0.139 eV/atom
# Fermi-level density of states = 1.805 states/eV per atom
data_TbSm2Eu
_chemical_formula_sum 'Tb1 Sm2 Eu1'
_cell_length_a 6.0223
_cell_length_b 6.0223
_cell_length_c 3.8282
_cell_angle_alpha 90.00
_cell_angle_beta 90.00
_cell_angle_gamma 90.00
_space_group_name_H-M_alt 'P 4/m m m'
_space_group_IT_number 123
_space_group_name_Hall '-P 4 2'
loop_
_atom_site_label
_atom_site_type_symbol
_atom_site_fract_x
_atom_site_fract_y
_atom_site_fract_z
Tb1 Tb 0.0000 0.0000 0.0000
Sm1 Sm 0.0000 0.5000 0.5000
Eu1 Eu 0.5000 0.5000 0.0000

=====

Record 3
# PBE TbSm2Eu, optimized geometry
# offset from the most stable computed form = 0.000 eV/atom
# calculated volume = 34.849 A^3/atom
# ΔE_f = 0.042 eV/atom
# Fermi-level density of states = 1.245 states/eV per atom
data_TbSm2Eu
_chemical_formula_sum 'Tb1 Sm2 Eu1'
_cell_length_a 3.6566
_cell_length_b 3.6566
_cell_length_c 10.4255
_cell_angle_alpha 90.00
_cell_angle_beta 90.00
_cell_angle_gamma 90.00
_space_group_name_H-M_alt 'P 4/m m m'
_space_group_IT_number 123
_space_group_name_Hall '-P 4 2'
loop_
_atom_site_label
_atom_site_type_symbol
_atom_site_fract_x
_atom_site_fract_y
_atom_site_fract_z
Tb1 Tb 0.0000 0.0000 0.0000
Sm1 Sm 0.5000 0.5000 0.2351
Eu1 Eu 0.0000 0.0000 0.5000

=====

Record 4
# PBE TbSmEuTh, optimized geometry
# calculated volume = 34.201 A^3/atom
# ΔE_f = 0.217 eV/atom
# Fermi-level density of states = 2.119 states/eV per atom
data_TbSmEuTh
_chemical_formula_sum 'Tb4 Sm4 Eu4 Th4'
_cell_length_a 8.1794
_cell_length_b 8.1794
_cell_length_c 8.1794
_cell_angle_alpha 90.00
_cell_angle_beta 90.00
_cell_angle_gamma 90.00
_space_group_name_H-M_alt 'F -4 3 m'
_space_group_IT_number 216
_space_group_name_Hall 'F -4 2 3'
loop_
_atom_site_label
_atom_site_type_symbol
_atom_site_fract_x
_atom_site_fract_y
_atom_site_fract_z
Tb1 Tb 0.0000 0.0000 0.0000
Sm1 Sm 0.0000 0.0000 0.5000
Eu1 Eu 0.2500 0.2500 0.2500
Th1 Th 0.2500 0.2500 0.7500

=====

Record 5
# PBE TbSmEuTl, optimized geometry
# calculated volume = 30.514 A^3/atom
# ΔE_f = -0.050 eV/atom
# Fermi-level density of states = 1.497 states/eV per atom
data_TbSmEuTl
_chemical_formula_sum 'Tb4 Sm4 Eu4 Tl4'
_cell_length_a 7.8742
_cell_length_b 7.8742
_cell_length_c 7.8742
_cell_angle_alpha 90.00
_cell_angle_beta 90.00
_cell_angle_gamma 90.00
_space_group_name_H-M_alt 'F -4 3 m'
_space_group_IT_number 216
_space_group_name_Hall 'F -4 2 3'
loop_
_atom_site_label
_atom_site_type_symbol
_atom_site_fract_x
_atom_site_fract_y
_atom_site_fract_z
Tb1 Tb 0.0000 0.0000 0.0000
Sm1 Sm 0.0000 0.0000 0.5000
Eu1 Eu 0.2500 0.2500 0.7500
Tl1 Tl 0.2500 0.2500 0.2500

=====

Record 6
# PBE TbSmEuTm, optimized geometry
# calculated volume = 33.716 A^3/atom
# ΔE_f = 0.155 eV/atom
# Fermi-level density of states = 1.726 states/eV per atom
data_TbSmEuTm
_chemical_formula_sum 'Tb4 Sm4 Eu4 Tm4'
_cell_length_a 8.1405
_cell_length_b 8.1405
_cell_length_c 8.1405
_cell_angle_alpha 90.00
_cell_angle_beta 90.00
_cell_angle_gamma 90.00
_space_group_name_H-M_alt 'F -4 3 m'
_space_group_IT_number 216
_space_group_name_Hall 'F -4 2 3'
loop_
_atom_site_label
_atom_site_type_symbol
_atom_site_fract_x
_atom_site_fract_y
_atom_site_fract_z
Tb1 Tb 0.0000 0.0000 0.0000
Sm1 Sm 0.0000 0.0000 0.5000
Eu1 Eu 0.2500 0.2500 0.7500
Tm1 Tm 0.2500 0.2500 0.2500

=====

Record 7
# PBE SmEuTe2, optimized geometry
# offset from the most stable computed form = 0.000 eV/atom
# calculated volume = 32.648 A^3/atom
# Fermi-level density of states = 0.462 states/eV per atom
# ΔE_f (raw) = -6.2 eV/f.u.
data_SmEuTe2
_chemical_formula_sum 'Sm3 Eu3 Te6'
_cell_length_a 4.4919
_cell_length_b 4.4919
_cell_length_c 22.4204
_cell_angle_alpha 90.00
_cell_angle_beta 90.00
_cell_angle_gamma 120.00
_space_group_name_H-M_alt 'R -3 m'
_space_group_IT_number 166
_space_group_name_Hall '-R 3 2"'
loop_
_atom_site_label
_atom_site_type_symbol
_atom_site_fract_x
_atom_site_fract_y
_atom_site_fract_z
Sm1 Sm 0.0000 0.0000 0.0000
Eu1 Eu 0.0000 0.0000 0.5000
Te1 Te 0.0000 0.0000 0.2523

=====

Record 8
# PBE SmEuTe2, optimized geometry
# offset from the most stable computed form = 0.185 eV/atom
# calculated volume = 29.970 A^3/atom
# Fermi-level density of states = 1.916 states/eV per atom
# ΔE_f (raw) = -5.4 eV/f.u.
data_SmEuTe2
_chemical_formula_sum 'Sm1 Eu1 Te2'
_cell_length_a 3.9066
_cell_length_b 3.9066
_cell_length_c 7.8550
_cell_angle_alpha 90.00
_cell_angle_beta 90.00
_cell_angle_gamma 90.00
_space_group_name_H-M_alt 'P 4/m m m'
_space_group_IT_number 123
_space_group_name_Hall '-P 4 2'
loop_
_atom_site_label
_atom_site_type_symbol
_atom_site_fract_x
_atom_site_fract_y
_atom_site_fract_z
Sm1 Sm 0.0000 0.0000 0.0000
Eu1 Eu 0.0000 0.0000 0.5000
Te1 Te 0.5000 0.5000 0.2384